Nd6Sb3As2I, relaxed, DFT PBE; volume = 373.5 Å³ per cell; space group = C2/m, No. 12; density = 6.70 g/cm³; E = -5.58 eV/atom
1.0
-4.0387 1.7411 -0.5535
-3.6092 -7.0643 4.1137
3.6474 5.2308 7.5910
I Sb Nd As
1 3 6 2
Direct
0.5000 0.0000 0.0000 I
0.5000 0.5000 0.0000 Sb
0.1599 0.8351 0.3199 Sb
0.8401 0.1649 0.6801 Sb
0.6709 0.5751 0.3418 Nd
0.3239 0.8958 0.6477 Nd
0.3291 0.4249 0.6582 Nd
0.0092 0.2716 0.0184 Nd
0.9908 0.7284 0.9816 Nd
0.6761 0.1042 0.3523 Nd
0.1686 0.3345 0.3371 As
0.8314 0.6655 0.6629 As

Nd6As2Se3I, relaxed, DFT PBE; volume = 337.8 Å³ per cell; space group = C2/m, No. 12; density = 6.78 g/cm³; E = -5.75 eV/atom
1.0
-0.3493 4.2674 -0.2470
-5.1417 -0.0191 6.9398
8.6618 -1.2199 3.9094
Se Nd As I
3 6 2 1
Direct
0.5000 0.5000 0.0000 Se
0.1589 0.8357 0.3178 Se
0.8411 0.1643 0.6822 Se
0.0067 0.2842 0.0133 Nd
0.3193 0.8963 0.6386 Nd
0.9933 0.7158 0.9867 Nd
0.6692 0.5782 0.3383 Nd
0.6807 0.1037 0.3614 Nd
0.3308 0.4218 0.6617 Nd
0.8324 0.6663 0.6647 As
0.1676 0.3337 0.3353 As
0.5000 0.0000 0.0000 I

Nd4AsSeI2, relaxed, DFT PBE; volume = 247.3 Å³ per cell; space group = P2/m, No. 10; density = 6.61 g/cm³; E = -5.11 eV/atom
1.0
-2.3943 -3.3715 -1.3655
-2.2350 -1.2574 7.0234
-5.1702 5.0589 -3.4251
Nd Se I As
4 1 2 1
Direct
0.5000 0.2300 0.1926 Nd
0.0000 0.2695 0.8085 Nd
0.5000 0.7700 0.8074 Nd
0.0000 0.7305 0.1915 Nd
0.5000 0.5000 0.0000 Se
0.5000 0.0000 0.5000 I
0.0000 0.5000 0.5000 I
0.0000 0.0000 0.0000 As

Nd8Si3AsI4, relaxed, DFT PBE; volume = 501.0 Å³ per cell; space group = C2/m, No. 12; density = 6.03 g/cm³; E = -5.13 eV/atom
1.0
-8.0632 2.5388 1.8090
-2.9244 -3.6405 -7.9406
4.2460 -5.1413 5.4996
Si Nd I As
3 8 4 1
Direct
0.5000 0.5000 0.5000 Si
0.5000 0.5000 0.0000 Si
0.0000 0.5000 0.5000 Si
0.7273 0.6957 0.9618 Nd
0.2727 0.3043 0.0382 Nd
0.7324 0.6969 0.4653 Nd
0.2676 0.3031 0.5347 Nd
0.7655 0.3041 0.0381 Nd
0.2345 0.6959 0.9619 Nd
0.7658 0.3045 0.5314 Nd
0.2342 0.6955 0.4686 Nd
0.0000 0.0000 0.0000 I
0.5000 0.0000 0.0000 I
0.0000 0.0000 0.5000 I
0.5000 0.0000 0.5000 I
0.0000 0.5000 0.0000 As

NdSmAsI, relaxed, DFT PBE; volume = 120.0 Å³ per cell; space group = R3m, No. 160; density = 6.87 g/cm³; E = -5.22 eV/atom
1.0
-0.0542 -0.9173 4.1269
3.3728 -1.0048 -2.3463
2.0640 7.8469 -0.3928
As Sm Nd I
1 1 1 1
Direct
0.3081 0.5520 0.8755 As
0.1030 0.9494 0.0674 Sm
0.5015 0.1487 0.6656 Nd
0.9653 0.3807 0.3612 I

TbNdAsI, relaxed, DFT PBE; volume = 116.9 Å³ per cell; space group = R3m, No. 160; density = 7.17 g/cm³; E = -5.17 eV/atom
1.0
-3.2270 -1.6813 -2.1034
3.8660 -1.5866 -0.4609
-0.4160 -3.1543 7.3577
As Tb Nd I
1 1 1 1
Direct
0.3122 0.5541 0.8816 As
0.1023 0.9491 0.0664 Tb
0.5013 0.1486 0.6653 Nd
0.9621 0.3790 0.3564 I

Nd4TeAsI2, relaxed, DFT PBE; volume = 259.4 Å³ per cell; space group = P2/m, No. 10; density = 6.62 g/cm³; E = -4.94 eV/atom
1.0
-2.7541 1.3445 -3.1686
-4.5446 -6.2974 1.2779
-2.4764 5.8737 4.6449
Nd Te As I
4 1 1 2
Direct
0.0000 0.7616 0.2057 Nd
0.5000 0.7873 0.8010 Nd
0.5000 0.2127 0.1990 Nd
0.0000 0.2384 0.7943 Nd
0.5000 0.5000 0.0000 Te
0.0000 0.0000 0.0000 As
0.5000 0.0000 0.5000 I
0.0000 0.5000 0.5000 I

NiAs3I, relaxed, DFT PBE; volume = 107.3 Å³ per cell; polymorph energy (0 for the lowest one) = 0 meV per atom; space group = Pm-3m, No. 221; density = 6.35 g/cm³; E = -3.75 eV/atom
1.0
4.7523 0.0000 0.0000
0.0000 4.7523 0.0000
0.0000 0.0000 4.7523
Ni I As
1 1 3
Direct
0.0000 0.0000 0.0000 Ni
0.5000 0.5000 0.5000 I
0.0000 0.5000 0.0000 As
0.0000 0.0000 0.5000 As
0.5000 0.0000 0.0000 As